[1]
## BaMnVH2 (PBE)

Data for an optimized crystal structure of BaMnVH2.

* E: -19.2 eV per cell
* magnetization: 0.009 μB/atom
* V: 75.9 Å³/cell

a = 3.720 Å, b = 3.720 Å, c = 5.483 Å
α = 90.00°, β = 90.00°, γ = 90.00°
Space group P4/mmm (No. 123)
Symmetry-distinct sites (fractional):
Ba  0.000  0.000  0.000
Mn  0.500  0.500  0.000
V  0.000  0.000  0.500
H  0.000  0.500  0.500

---

[2]
## CrTc (PBE)

Data for an optimized crystal structure of CrTc.

* magnetization: 0.000 μB/atom
* E_form: 0.048 eV/atom
* V: 52.6 Å³/cell

a = 2.915 Å, b = 2.915 Å, c = 6.186 Å
α = 90.00°, β = 90.00°, γ = 90.00°
Space group P4/nmm (No. 129, origin choice 2)
Symmetry-distinct sites (fractional):
Cr  0.250  0.250  0.100
Tc  0.250  0.250  0.638

---

[3]
## CsPdPb2 (PBE)

Data for an optimized crystal structure of CsPdPb2.

* magnetization: 0.000 μB/atom
* E_form: -0.181 eV/atom
* V: 1053.0 Å³/cell

a = 17.896 Å, b = 8.122 Å, c = 7.245 Å
α = 90.00°, β = 90.00°, γ = 90.00°
Space group Pnma (No. 62)
Symmetry-distinct sites (fractional):
Cs  0.101  0.250  0.167
Cs  0.125  0.750  0.022
Pd  0.073  0.750  0.490
Pd  0.189  0.250  0.707
Pb  0.050  0.055  0.676
Pb  0.212  0.555  0.506